No. 1
Computed, not measured: an optimized crystal structure of SrLu3Os at the PBE level of DFT.

Cell: 5.4028 5.4028 5.4028 Å, 90.00 90.00 90.00°
Last column: nearest neighbours and their distance in Å.
Element x y z (fractional)
1 Lu 0.5000 0.0000 0.0000  2 Os 2.70
2 Lu 0.0000 0.0000 0.5000  2 Os 2.70
3 Lu 0.0000 0.5000 0.0000  2 Os 2.70
4 Os 0.0000 0.0000 0.0000  6 Lu 2.70
5 Sr 0.5000 0.5000 0.5000  12 Lu 3.82

Properties
- space-group type = No. 221
- energy of formation (eV/atom) = -0.112
- crystal system = cubic

***

No. 2
Computed, not measured: an optimized crystal structure of Pm3Dy2Hg6 at the PBE level of DFT.

Cell: 5.1515 5.1515 13.8910 Å, 100.69 100.69 90.00°
Last column: nearest neighbours and their distance in Å.
Element x y z (fractional)
1 Hg 0.5664 0.0664 0.1328  2 Dy 3.00, 4 Pm 3.13-3.33
2 Hg 0.4336 0.9336 0.8672  2 Dy 3.00, 4 Pm 3.13-3.33
3 Hg 0.7371 0.7371 0.4742  1 Dy 3.05, 1 Pm 3.15
4 Hg 0.9336 0.4336 0.8672  2 Dy 3.00, 4 Pm 3.13-3.33
5 Hg 0.2629 0.2629 0.5258  1 Dy 3.05, 1 Pm 3.15
6 Hg 0.0664 0.5664 0.1328  2 Dy 3.00, 4 Pm 3.13-3.33
7 Pm 0.1453 0.1453 0.2905  5 Hg 3.15-3.33
8 Pm 0.0000 0.0000 0.0000  8 Hg 3.13
9 Pm 0.8547 0.8547 0.7095  5 Hg 3.15-3.33
10 Dy 0.3766 0.3766 0.7532  5 Hg 3.00-3.05
11 Dy 0.6234 0.6234 0.2468  5 Hg 3.00-3.05

Properties
- space-group type = No. 139
- energy of formation (eV/atom) = -0.112
- crystal system = tetragonal

***

What is the energy of formation in the first record?
-0.112 eV/atom

***

Repeat the first record exactly.
Computed, not measured: an optimized crystal structure of SrLu3Os at the PBE level of DFT.

Cell: 5.4028 5.4028 5.4028 Å, 90.00 90.00 90.00°
Last column: nearest neighbours and their distance in Å.
Element x y z (fractional)
1 Lu 0.5000 0.0000 0.0000  2 Os 2.70
2 Lu 0.0000 0.0000 0.5000  2 Os 2.70
3 Lu 0.0000 0.5000 0.0000  2 Os 2.70
4 Os 0.0000 0.0000 0.0000  6 Lu 2.70
5 Sr 0.5000 0.5000 0.5000  12 Lu 3.82

Properties
- space-group type = No. 221
- energy of formation (eV/atom) = -0.112
- crystal system = cubic

***

Copy entry 1 word for word.
Computed, not measured: an optimized crystal structure of SrLu3Os at the PBE level of DFT.

Cell: 5.4028 5.4028 5.4028 Å, 90.00 90.00 90.00°
Last column: nearest neighbours and their distance in Å.
Element x y z (fractional)
1 Lu 0.5000 0.0000 0.0000  2 Os 2.70
2 Lu 0.0000 0.0000 0.5000  2 Os 2.70
3 Lu 0.0000 0.5000 0.0000  2 Os 2.70
4 Os 0.0000 0.0000 0.0000  6 Lu 2.70
5 Sr 0.5000 0.5000 0.5000  12 Lu 3.82

Properties
- space-group type = No. 221
- energy of formation (eV/atom) = -0.112
- crystal system = cubic